[1]
# AcPrPd2, relaxed, DFT PBE
# - Uncorrected energy: -22.07 eV/cell
# - E above lowest polymorph: 0.093 eV/atom
# - E_form: -699 meV/atom
# - Fermi-level density of states: 4.11 states/eV per cell
data_AcPrPd2
_symmetry_space_group_name_H-M 'P 4/m m m'
_symmetry_Int_Tables_number 123
_symmetry_space_group_name_Hall '-P 4 2'
_cell_length_a 3.752
_cell_length_b 3.752
_cell_length_c 7.361
_cell_angle_alpha 90.00
_cell_angle_beta 90.00
_cell_angle_gamma 90.00
loop_
_atom_site_label
_atom_site_type_symbol
_atom_site_fract_x
_atom_site_fract_y
_atom_site_fract_z
_atom_site_occupancy
Ac1 Ac 0.000 0.000 0.000 1
Pr1 Pr 0.000 0.000 0.500 1
Pd1 Pd 0.500 0.500 0.267 1

[2]
# TcIr4, relaxed, DFT PBE
# - Uncorrected energy: -182.69 eV/cell
# - E above lowest polymorph: 0.135 eV/atom
# - E_form: 28 meV/atom
# - Fermi-level density of states: 17.02 states/eV per cell
data_TcIr4
_symmetry_space_group_name_H-M 'I m m a'
_symmetry_Int_Tables_number 74
_symmetry_space_group_name_Hall '-I 2b 2'
_cell_length_a 3.973
_cell_length_b 5.441
_cell_length_c 13.719
_cell_angle_alpha 90.00
_cell_angle_beta 90.00
_cell_angle_gamma 90.00
loop_
_atom_site_label
_atom_site_type_symbol
_atom_site_fract_x
_atom_site_fract_y
_atom_site_fract_z
_atom_site_occupancy
Tc1 Tc 0.000 0.250 0.107 1
Ir1 Ir 0.000 0.000 0.500 1
Ir2 Ir 0.000 0.004 0.690 1
Ir3 Ir 0.000 0.250 0.906 1

[3]
# CsCoOsCl6, relaxed, DFT PBE
# - Uncorrected formation energy: -0.761 eV/atom
# - Uncorrected energy: -37.12 eV/cell
# - Fermi-level density of states: 7.11 states/eV per cell
data_CsCoOsCl6
_symmetry_space_group_name_H-M 'P 3 1 2'
_symmetry_Int_Tables_number 149
_cell_length_a 6.3738
_cell_length_b 6.3738
_cell_length_c 7.7784
_cell_angle_alpha 90.00
_cell_angle_beta 90.00
_cell_angle_gamma 120.00
loop_
_symmetry_equiv_pos_as_xyz
'x,y,z'
'-y,x-y,z'
'-x+y,-x,z'
'-y,-x,-z'
'-x+y,y,-z'
'x,x-y,-z'
loop_
_atom_site_label
_atom_site_type_symbol
_atom_site_fract_x
_atom_site_fract_y
_atom_site_fract_z
_atom_site_occupancy
Cs1 Cs 0.0000 0.0000 0.0000 1
Co1 Co 0.6667 0.3333 0.5000 1
Os1 Os 0.3333 0.6667 0.5000 1
Cl1 Cl 0.0090 0.3811 0.3274 1

[4]
# In2BiAs, relaxed, DFT PBE
# - Uncorrected energy: -57.53 eV/cell
# - E_form: -94 meV/atom
# - Fermi-level density of states: 0.00 states/eV per cell
data_In2BiAs
_symmetry_space_group_name_H-M 'I -4 2 d'
_symmetry_Int_Tables_number 122
_symmetry_space_group_name_Hall 'I -4 2bw'
_cell_length_a 6.525
_cell_length_b 6.525
_cell_length_c 12.927
_cell_angle_alpha 90.00
_cell_angle_beta 90.00
_cell_angle_gamma 90.00
loop_
_atom_site_label
_atom_site_type_symbol
_atom_site_fract_x
_atom_site_fract_y
_atom_site_fract_z
_atom_site_occupancy
In1 In 0.218 0.250 0.125 1
Bi1 Bi 0.000 0.000 0.500 1
As1 As 0.000 0.000 0.000 1

[5]
# LaNbAs2Br, relaxed, DFT PBE
# - Uncorrected formation energy: 0.693 eV/atom
# - Uncorrected energy: -22.50 eV/cell
# - Fermi-level density of states: 8.72 states/eV per cell
data_LaNbAs2Br
_symmetry_space_group_name_H-M 'P 4/m m m'
_symmetry_Int_Tables_number 123
_symmetry_space_group_name_Hall '-P 4 2'
_cell_length_a 5.648
_cell_length_b 5.648
_cell_length_c 5.555
_cell_angle_alpha 90.00
_cell_angle_beta 90.00
_cell_angle_gamma 90.00
loop_
_atom_site_label
_atom_site_type_symbol
_atom_site_fract_x
_atom_site_fract_y
_atom_site_fract_z
_atom_site_occupancy
La1 La 0.000 0.000 0.000 1
Nb1 Nb 0.500 0.500 0.500 1
As1 As 0.000 0.500 0.000 1
Br1 Br 0.000 0.000 0.500 1

[6]
# CuAg2Pt, relaxed, DFT PBE
# - Uncorrected energy: -58.65 eV/cell
# - E above lowest polymorph: 0.314 eV/atom
# - E_form: 294 meV/atom
# - Fermi-level density of states: 6.40 states/eV per cell
data_CuAg2Pt
_symmetry_space_group_name_H-M 'I -4 2 d'
_symmetry_Int_Tables_number 122
_symmetry_space_group_name_Hall 'I -4 2bw'
_cell_length_a 3.796
_cell_length_b 3.796
_cell_length_c 19.257
_cell_angle_alpha 90.00
_cell_angle_beta 90.00
_cell_angle_gamma 90.00
loop_
_atom_site_label
_atom_site_type_symbol
_atom_site_fract_x
_atom_site_fract_y
_atom_site_fract_z
_atom_site_occupancy
Cu1 Cu 0.000 0.000 0.000 1
Ag1 Ag 0.248 0.250 0.125 1
Pt1 Pt 0.000 0.000 0.500 1

[7]
# GaSnAu2, relaxed, DFT PBE
# - Uncorrected energy: -55.91 eV/cell
# - E above lowest polymorph: 0.087 eV/atom
# - E_form: -98 meV/atom
# - Fermi-level density of states: 5.21 states/eV per cell
data_GaSnAu2
_symmetry_space_group_name_H-M 'I -4 2 d'
_symmetry_Int_Tables_number 122
_symmetry_space_group_name_Hall 'I -4 2bw'
_cell_length_a 4.474
_cell_length_b 4.474
_cell_length_c 17.496
_cell_angle_alpha 90.00
_cell_angle_beta 90.00
_cell_angle_gamma 90.00
loop_
_atom_site_label
_atom_site_type_symbol
_atom_site_fract_x
_atom_site_fract_y
_atom_site_fract_z
_atom_site_occupancy
Ga1 Ga 0.000 0.000 0.000 1
Sn1 Sn 0.000 0.000 0.500 1
Au1 Au 0.223 0.250 0.125 1

[8]
# NdThH, relaxed, DFT PBE
# - Uncorrected energy: -63.88 eV/cell
# - E above lowest polymorph: 0.000 eV/atom
# - Fermi-level density of states: 10.24 states/eV per cell
data_NdThH
_symmetry_space_group_name_H-M 'P n m a'
_symmetry_Int_Tables_number 62
_cell_length_a 12.717
_cell_length_b 3.629
_cell_length_c 5.979
_cell_angle_alpha 90.00
_cell_angle_beta 90.00
_cell_angle_gamma 90.00
loop_
_symmetry_equiv_pos_as_xyz
'x,y,z'
'-x,-y,-z'
'-x+1/2,-y,z+1/2'
'x+1/2,y,-z+1/2'
'x+1/2,-y+1/2,-z+1/2'
'-x+1/2,y+1/2,z+1/2'
'-x,y+1/2,-z'
'x,-y+1/2,z'
loop_
_atom_site_label
_atom_site_type_symbol
_atom_site_fract_x
_atom_site_fract_y
_atom_site_fract_z
_atom_site_occupancy
Nd1 Nd 0.044 0.250 0.243 1
Th1 Th 0.212 0.250 0.741 1
H1 H 0.126 0.750 0.985 1

[9]
# CsCu3GeSe4, relaxed, DFT PBE
# - Uncorrected formation energy: -0.218 eV/atom
# - Uncorrected energy: -33.66 eV/cell
data_CsCu3GeSe4
_symmetry_space_group_name_H-M 'P -4 3 m'
_symmetry_Int_Tables_number 215
_symmetry_space_group_name_Hall 'P -4 2 3'
_cell_length_a 6.384
_cell_length_b 6.384
_cell_length_c 6.384
_cell_angle_alpha 90.00
_cell_angle_beta 90.00
_cell_angle_gamma 90.00
loop_
_atom_site_label
_atom_site_type_symbol
_atom_site_fract_x
_atom_site_fract_y
_atom_site_fract_z
_atom_site_occupancy
Cs1 Cs 0.000 0.000 0.000 1
Cu1 Cu 0.000 0.500 0.500 1
Ge1 Ge 0.500 0.500 0.500 1
Se1 Se 0.289 0.289 0.711 1

[10]
# LaYSc2Hg4, relaxed, DFT PBE
# - Uncorrected energy: -86.11 eV/cell
# - E_form: -430 meV/atom
# - Fermi-level density of states: 26.24 states/eV per cell
data_LaYSc2Hg4
_symmetry_space_group_name_H-M 'R -3 m'
_symmetry_Int_Tables_number 166
_symmetry_space_group_name_Hall '-R 3 2"'
_cell_length_a 5.1884
_cell_length_b 5.1884
_cell_length_c 25.8374
_cell_angle_alpha 90.00
_cell_angle_beta 90.00
_cell_angle_gamma 120.00
loop_
_atom_site_label
_atom_site_type_symbol
_atom_site_fract_x
_atom_site_fract_y
_atom_site_fract_z
_atom_site_occupancy
La1 La 0.0000 0.0000 0.0000 1
Y1 Y 0.0000 0.0000 0.5000 1
Sc1 Sc 0.0000 0.0000 0.2485 1
Hg1 Hg 0.0000 0.0000 0.1277 1
Hg2 Hg 0.0000 0.0000 0.3802 1

[11]
# Sc2PdBr, relaxed, DFT PBE
# - Uncorrected formation energy: -0.509 eV/atom
# - Uncorrected energy: -86.26 eV/cell
# - E above lowest polymorph: 0.292 eV/atom
# - Fermi-level density of states: 17.98 states/eV per cell
data_Sc2PdBr
_symmetry_space_group_name_H-M 'F m -3 m'
_symmetry_Int_Tables_number 225
_symmetry_space_group_name_Hall '-F 4 2 3'
_cell_length_a 6.844
_cell_length_b 6.844
_cell_length_c 6.844
_cell_angle_alpha 90.00
_cell_angle_beta 90.00
_cell_angle_gamma 90.00
loop_
_atom_site_label
_atom_site_type_symbol
_atom_site_fract_x
_atom_site_fract_y
_atom_site_fract_z
_atom_site_occupancy
Sc1 Sc 0.250 0.250 0.250 1
Pd1 Pd 0.000 0.000 0.000 1
Br1 Br 0.000 0.000 0.500 1

[12]
# LaTe2PdI, relaxed, DFT PBE
# - Uncorrected formation energy: -0.616 eV/atom
# - Uncorrected energy: -21.03 eV/cell
# - E above lowest polymorph: 0.000 eV/atom
# - Fermi-level density of states: 3.71 states/eV per cell
data_LaTe2PdI
_symmetry_space_group_name_H-M 'P 4/m m m'
_symmetry_Int_Tables_number 123
_symmetry_space_group_name_Hall '-P 4 2'
_cell_length_a 5.396
_cell_length_b 5.396
_cell_length_c 5.304
_cell_angle_alpha 90.00
_cell_angle_beta 90.00
_cell_angle_gamma 90.00
loop_
_atom_site_label
_atom_site_type_symbol
_atom_site_fract_x
_atom_site_fract_y
_atom_site_fract_z
_atom_site_occupancy
La1 La 0.000 0.000 0.000 1
Te1 Te 0.000 0.500 0.500 1
Pd1 Pd 0.500 0.500 0.500 1
I1 I 0.500 0.500 0.000 1